Entry 1:
DFT (PBE) results for an optimized crystal structure of Hf2TcAgH.

Unit cell a=5.0925 b=5.0925 c=3.3924 alpha=90.00 beta=90.00 gamma=90.00
With the nearest neighbours (Å) after each atom.
Atoms (fractional coordinates):
Hf 0.0000 0.5000 0.0000  2 Tc 2.55
Hf 0.5000 0.0000 0.0000  2 Tc 2.55
Tc 0.0000 0.0000 0.0000  2 H 1.70
Ag 0.5000 0.5000 0.5000  8 Hf 3.06, 2 Ag 3.39
H 0.0000 0.0000 0.5000  2 Tc 1.70

## Properties
E above lowest polymorph = 0.592 eV/atom

Entry 2:
DFT (PBE) results for an optimized crystal structure of InAgRh2.

Unit cell a=2.8992 b=3.9426 c=5.7943 alpha=90.00 beta=90.00 gamma=90.00
With the nearest neighbours (Å) after each atom.
Atoms (fractional coordinates):
In 0.0000 0.0000 0.0000  6 Rh 2.77-3.02, 2 In 2.90, 4 Ag 2.91
Ag 0.5000 0.5000 0.7273  6 Rh 2.78-3.01, 2 Ag 2.90, 4 In 2.91
Rh 0.0000 0.0000 0.4780  2 In 2.77-3.02, 6 Rh 2.79-2.90, 4 Ag 2.84
Rh 0.5000 0.5000 0.2468  2 Ag 2.78-3.01, 6 Rh 2.79-2.90, 4 In 2.83

## Properties
Energy relative to the elements = 0.03 eV/atom